The following is a PBE calculation of BaInSe after structural relaxation, from Alexandria.

Computed properties:
- crystal system = cubic
- calculated volume (Å³ per atom) = 39.4
- E above lowest polymorph (meV/atom) = 474
- total magnetic moment (Bohr magnetons per cell) = 0.001
- final energy (eV per atom) = -3.246

Unit cell a=7.7913 b=7.7913 c=7.7913 alpha=90.00 beta=90.00 gamma=90.00
Space group F-43m (No. 216)
One atom of each set of equivalent atoms:
1 Ba 0.0000 0.0000 0.0000 (multiplicity 4)
2 In 0.2500 0.2500 0.7500 (multiplicity 4)
3 Se 0.2500 0.2500 0.2500 (multiplicity 4)